[1]
5
Lattice="4.5532 0.0000 0.0000 0.0000 4.5532 0.0000 0.0000 0.0000 4.5532" Properties=species:S:1:pos:R:3 comment="GaHPd3, single point on PBEsol structure, DFT meta-GGA SCAN" vol_a3_per_atom=18.9 spacegroup="Pm-3m (221)" crystal_system=cubic dos_at_fermi_per_ev_cell=0.11 de_polymorph_mev_per_atom=1306 pbc="T T T"
Pd 0.0000 0.0000 2.2766
Ga 0.0000 0.0000 0.0000
Pd 2.2766 0.0000 0.0000
H 2.2766 2.2766 2.2766
Pd 0.0000 2.2766 0.0000

***

[2]
3
Lattice="-1.9904 -1.8977 -0.6449 2.6824 -0.4529 -0.7603 1.0260 -2.8918 5.3426" Properties=species:S:1:pos:R:3 comment="OsRuCl, single point on PBEsol structure, DFT meta-GGA SCAN" vol_a3_per_atom=14.2 raw_formation_energy_ev_per_atom=0.5104 spacegroup="P3m1 (156)" crystal_system=trigonal dos_at_fermi_per_ev_cell=1.46 de_polymorph_mev_per_atom=0 pbc="T T T"
Cl 0.0067 -0.0188 0.0348
Os 1.7971 -2.8292 2.7787
Ru -0.0857 -2.3943 1.1240

***

[3]
4
Lattice="-0.6125 4.4163 -0.0984 -4.3973 -0.6001 0.4387 2.8827 -1.7671 3.8093" Properties=species:S:1:pos:R:3 comment="KCu2Sb, single point on PBEsol structure, DFT meta-GGA SCAN" vol_a3_per_atom=19.9 raw_formation_energy_ev_per_atom=0.5162 spacegroup="I-4m2 (119)" crystal_system=tetragonal dos_at_fermi_per_ev_cell=1.54 pbc="T T T"
K -2.5049 1.9081 0.1702
Cu 0.0000 0.0000 0.0000
Cu -0.1174 2.2787 1.9406
Sb -2.0097 -0.2295 2.2091

***

[4]
5
Lattice="-1.4081 1.3343 -6.7118 -0.1046 -6.8558 -1.3410 -6.8423 -0.1698 1.4017" Properties=species:S:1:pos:R:3 comment="Cs3AlC, single point on PBEsol structure, DFT meta-GGA SCAN" vol_a3_per_atom=68.2 spacegroup="Pm-3m (221)" crystal_system=cubic dos_at_fermi_per_ev_cell=3.22 delta_e_f_ev_per_atom=1.44 pbc="T T T"
Cs -0.7040 0.6672 -3.3559
Cs -3.4212 -0.0849 0.7009
Cs -0.0523 -3.4279 -0.6705
C -4.1775 -2.8456 -3.3256
Al 0.0000 0.0000 0.0000

***

[5]
4
Lattice="3.3455 0.0000 0.0000 0.0000 3.3455 0.0000 -1.6727 -1.6727 3.8598" Properties=species:S:1:pos:R:3 comment="Cr2CoSi, single point on PBEsol structure, DFT meta-GGA SCAN" vol_a3_per_atom=10.8 raw_formation_energy_ev_per_atom=-0.2140 spacegroup="I4/mmm (139)" crystal_system=tetragonal dos_at_fermi_per_ev_cell=1.26 pbc="T T T"
Cr 0.0000 1.6727 1.9299
Co 0.0000 0.0000 0.0000
Cr 1.6727 0.0000 1.9299
Si 1.6727 1.6727 0.0000

***

[6]
4
Lattice="4.0093 0.0000 0.0000 2.0047 3.4722 0.0000 2.0047 1.1574 10.2485" Properties=species:S:1:pos:R:3 comment="Ba2YRh, single point on PBEsol structure, DFT meta-GGA SCAN" vol_a3_per_atom=35.7 spacegroup="R-3m (166)" crystal_system=trigonal dos_at_fermi_per_ev_cell=4.07 delta_e_f_ev_per_atom=0.24 pbc="T T T"
Rh 4.0093 2.3148 5.1242
Ba 2.0047 1.1574 3.2865
Y 0.0000 0.0000 0.0000
Ba 6.0140 3.4722 6.9620

***

[7]
4
Lattice="2.7208 0.0000 0.0000 0.0000 4.2248 0.0000 0.0000 0.0000 5.8260" Properties=species:S:1:pos:R:3 comment="ReAg2Hg, single point on PBEsol structure, DFT meta-GGA SCAN" vol_a3_per_atom=16.7 spacegroup="Pmm2 (25)" crystal_system=orthorhombic dos_at_fermi_per_ev_cell=2.14 delta_e_f_ev_per_atom=0.70 pbc="T T T"
Hg 0.0000 0.0000 2.9593
Ag 1.3604 2.1124 1.4061
Re 1.3604 2.1124 4.4056
Ag 0.0000 0.0000 5.7940

***

[8]
4
Lattice="2.6772 0.0000 0.0000 0.0000 2.6772 0.0000 0.0000 0.0000 7.2631" Properties=species:S:1:pos:R:3 comment="NiIr2Ru, single point on PBEsol structure, DFT meta-GGA SCAN" vol_a3_per_atom=13.0 spacegroup="P4/mmm (123)" crystal_system=tetragonal dos_at_fermi_per_ev_cell=4.66 delta_e_f_ev_per_atom=-0.02 de_polymorph_mev_per_atom=9 pbc="T T T"
Ir 0.0000 0.0000 5.4992
Ru 1.3386 1.3386 3.6316
Ir 0.0000 0.0000 1.7639
Ni 1.3386 1.3386 0.0000

***

[9]
4
Lattice="-3.1763 3.6471 -0.8532 -2.6490 1.8631 3.6918 0.9483 4.5218 1.6648" Properties=species:S:1:pos:R:3 comment="Mg2AuBr, single point on PBEsol structure, DFT meta-GGA SCAN" vol_a3_per_atom=20.9 raw_formation_energy_ev_per_atom=-0.3438 spacegroup="Fm-3m (225)" crystal_system=cubic dos_at_fermi_per_ev_cell=2.23 de_polymorph_mev_per_atom=117 pbc="T T T"
Au 0.0000 0.0000 0.0000
Mg -1.2192 2.5080 1.1259
Mg -3.6577 7.5240 3.3776
Br -2.4385 5.0160 2.2517

***

[10]
32
Lattice="-0.7700 -1.3354 7.6566 -8.1740 -3.0039 -1.3460 4.3518 -11.1653 -1.5097" Properties=species:S:1:pos:R:3 comment="Ho5NiBi2, single point on PBEsol structure, DFT meta-GGA SCAN" vol_a3_per_atom=26.0 spacegroup="Pnma (62)" crystal_system=orthorhombic dos_at_fermi_per_ev_cell=25.09 delta_e_f_ev_per_atom=-0.67 pbc="T T T"
Ho -2.2056 -14.1422 1.6889
Ho -5.0914 -6.1804 1.4451
Ho 1.0196 -5.9092 4.4729
Bi -4.8277 -12.7740 0.6897
Ho -2.7138 -11.4133 -1.3152
Ho 0.4991 -9.3242 3.3558
Ni -2.5404 -14.5195 4.5641
Bi -3.6948 -4.1749 3.4641
Ho 1.3022 -9.8484 -0.3511
Ho -2.3867 -1.3624 3.1120
Ho -0.2875 -12.9235 4.2665
Ho -1.0199 -4.5193 1.8571
Bi 0.2354 -2.7306 4.1112
Bi -6.7307 -6.7182 -1.2683
Ni -4.4501 -8.4754 2.6727
Bi -1.7917 -10.2307 5.4221
Ni -0.1421 -7.0292 2.1282
Ho -3.5724 -10.9853 2.9439
Ho -2.2399 -8.3562 0.8833
Bi 2.1385 -8.7864 6.0692
Ho 3.0845 -11.6843 4.8218
Bi -2.8005 -5.2739 -0.6211
Bi -0.8974 -11.3297 1.3369
Ho -7.6768 -3.8203 -0.0208
Ho -4.6904 -9.0952 5.5151
Ho -1.8785 -4.0913 6.1161
Ho -5.6119 -9.5954 0.3281
Ho -4.3047 -2.5810 0.5344
Ho -5.8944 -5.6562 5.1521
Ho 0.0981 -6.4093 -0.7142
Ni -2.0519 -0.9851 0.2368
Ho -2.3524 -7.1484 3.9176

***

[11]
5
Lattice="4.4617 0.0000 0.0000 0.0000 4.8503 0.0000 0.0000 0.0000 4.8503" Properties=species:S:1:pos:R:3 comment="Hf2TiZnPd, single point on PBEsol structure, DFT meta-GGA SCAN" vol_a3_per_atom=21.0 spacegroup="P4/mmm (123)" crystal_system=tetragonal dos_at_fermi_per_ev_cell=4.99 delta_e_f_ev_per_atom=0.60 pbc="T T T"
Hf 0.0000 0.0000 2.4252
Zn 0.0000 0.0000 0.0000
Hf 0.0000 2.4252 0.0000
Pd 2.2308 0.0000 0.0000
Ti 2.2308 2.4252 2.4252

***

[12]
4
Lattice="-3.7351 0.2481 4.1531 1.4888 -1.4541 5.1894 0.4867 3.9091 3.9677" Properties=species:S:1:pos:R:3 comment="CaIn2I, single point on PBEsol structure, DFT meta-GGA SCAN" vol_a3_per_atom=30.9 raw_formation_energy_ev_per_atom=-0.0115 spacegroup="Fm-3m (225)" crystal_system=cubic dos_at_fermi_per_ev_cell=2.29 pbc="T T T"
In -1.3198 2.0273 9.9826
In -0.4399 0.6758 3.3275
Ca 0.0000 0.0000 0.0000
I -0.8799 1.3516 6.6551